Record 1
DFT (PBE) results for an optimized crystal structure of AlRe2Pb.

a = 4.5531 Å, b = 4.5531 Å, c = 4.5531 Å
α = 60.00°, β = 60.00°, γ = 60.00°
With the nearest neighbours (Å) after each atom.
Fractional positions:
Pb 0.5000 0.5000 0.5000  8 Re 2.79
Re 0.2500 0.2500 0.2500  4 Pb 2.79, 4 Al 2.79
Re 0.7500 0.7500 0.7500  4 Pb 2.79, 4 Al 2.79
Al 0.0000 0.0000 0.0000  8 Re 2.79

Results
E_form   3.08 eV/f.u.
Symmetry   Fm-3m (225)
VASP energy   -7.32 eV/atom

=====

Record 2
DFT (PBE) results for an optimized crystal structure of AlRePb.

a = 4.4859 Å, b = 4.4859 Å, c = 4.4859 Å
α = 60.00°, β = 60.00°, γ = 60.00°
With the nearest neighbours (Å) after each atom.
Fractional positions:
Pb 0.5000 0.5000 0.5000  4 Re 2.75
Re 0.7500 0.7500 0.7500  4 Al 2.75, 4 Pb 2.75
Al 0.0000 0.0000 0.0000  4 Re 2.75

Results
E_form   2.24 eV/f.u.
Symmetry   F-43m (216)
VASP energy   -5.89 eV/atom

=====

Record 3
DFT (PBE) results for an optimized crystal structure of AlRePb2.

a = 5.4643 Å, b = 5.4643 Å, c = 5.4643 Å
α = 139.90°, β = 124.28°, γ = 70.84°
With the nearest neighbours (Å) after each atom.
Fractional positions:
Pb 0.9997 0.9997 0.0000  2 Re 2.91, 2 Al 2.91, 4 Pb 3.17
Pb 0.5003 0.5003 0.0000  2 Re 2.91, 2 Al 2.91, 4 Pb 3.17
Re 0.7500 0.2500 0.5000  4 Pb 2.91, 4 Al 3.17
Al 0.2500 0.7500 0.5000  4 Pb 2.91, 4 Re 3.17

Results
E_form   3.58 eV/f.u.
Symmetry   Immm (71)
VASP energy   -5.01 eV/atom

=====

Record 4
DFT (PBE) results for an optimized crystal structure of AlRe2Pb.

a = 4.9761 Å, b = 4.9761 Å, c = 4.9761 Å
α = 131.50°, β = 131.50°, γ = 71.03°
With the nearest neighbours (Å) after each atom.
Fractional positions:
Pb 0.7500 0.2500 0.5000  8 Re 2.88-2.89, 4 Al 2.88
Re 0.0000 0.0000 0.0000  4 Pb 2.88, 4 Re 2.88, 4 Al 2.89
Re 0.2500 0.7500 0.5000  4 Re 2.88, 4 Al 2.88, 4 Pb 2.89
Al 0.5000 0.5000 0.0000  8 Re 2.88-2.89, 4 Pb 2.88

Results
E_form   2.97 eV/f.u.
Symmetry   I-4m2 (119)
VASP energy   -7.34 eV/atom

=====

Record 5
DFT (PBE) results for an optimized crystal structure of AlRe2Pb.

a = 10.0222 Å, b = 10.0222 Å, c = 10.0222 Å
α = 16.56°, β = 16.56°, γ = 16.56°
With the nearest neighbours (Å) after each atom.
Fractional positions:
Pb 0.7500 0.7500 0.7500  6 Pb 2.89
Re 0.9880 0.9880 0.9880  3 Al 2.69, 6 Re 2.89
Re 0.5120 0.5120 0.5120  3 Al 2.69, 6 Re 2.89
Al 0.2500 0.2500 0.2500  6 Re 2.69, 6 Al 2.89

Results
E_form   2.76 eV/f.u.
Symmetry   R-3m (166)
VASP energy   -7.40 eV/atom

=====

Record 6
DFT (PBE) results for an optimized crystal structure of AlRePb.

a = 5.2377 Å, b = 5.2377 Å, c = 5.2377 Å
α = 141.96°, β = 141.95°, γ = 54.89°
With the nearest neighbours (Å) after each atom.
Fractional positions:
Pb 0.3303 0.3303 0.0000  5 Al 2.83-3.02, 5 Re 2.92-2.97
Re 0.6440 0.6440 0.0000  4 Al 2.65, 1 Pb 2.92
Al 0.0257 0.0257 0.0000  4 Re 2.65, 1 Pb 2.83

Results
E_form   1.15 eV/f.u.
Symmetry   I4mm (107)
VASP energy   -6.25 eV/atom

=====

Record 7
DFT (PBE) results for an optimized crystal structure of AlRe2Pb.

a = 4.7096 Å, b = 4.7096 Å, c = 5.3577 Å
α = 80.54°, β = 80.54°, γ = 37.42°
With the nearest neighbours (Å) after each atom.
Fractional positions:
Pb 0.2500 0.2500 0.2500  6 Re 2.88-3.04, 2 Pb 3.02, 4 Al 3.08
Re 0.0150 0.0150 0.9428  2 Re 2.61, 3 Al 2.64-2.74, 1 Pb 2.88
Re 0.4850 0.4850 0.5572  2 Re 2.61, 3 Al 2.64-2.74, 1 Pb 2.88
Al 0.7500 0.7500 0.7500  6 Re 2.64-2.74

Results
E_form   2.27 eV/f.u.
Symmetry   C2/m (12)
VASP energy   -7.52 eV/atom

=====

Record 8
DFT (PBE) results for an optimized crystal structure of Al2RePb.

a = 5.0700 Å, b = 5.0700 Å, c = 5.0700 Å
α = 131.78°, β = 131.78°, γ = 70.58°
With the nearest neighbours (Å) after each atom.
Fractional positions:
Pb 0.5000 0.5000 0.0000  4 Re 2.93, 8 Al 2.93
Re 0.7500 0.2500 0.5000  4 Pb 2.93, 8 Al 2.93
Al 0.0000 0.0000 0.0000  4 Al 2.93, 4 Re 2.93, 4 Pb 2.93
Al 0.2500 0.7500 0.5000  4 Al 2.93, 4 Pb 2.93, 4 Re 2.93

Results
E_form   2.22 eV/f.u.
Symmetry   I-4m2 (119)
VASP energy   -5.36 eV/atom

=====

Record 9
DFT (PBE) results for an optimized crystal structure of Al2RePb.

a = 5.2673 Å, b = 5.2673 Å, c = 5.2673 Å
α = 141.86°, β = 126.55°, γ = 67.54°
With the nearest neighbours (Å) after each atom.
Fractional positions:
Pb 0.5001 0.5001 0.0000  8 Al 2.87-3.16, 4 Re 2.91-3.12
Re 0.2325 0.7325 0.5000  6 Al 2.63-2.94, 2 Pb 2.91
Al 0.0054 0.0054 0.0000  2 Re 2.63, 2 Al 2.74, 4 Pb 2.93
Al 0.7619 0.2619 0.5000  2 Al 2.74, 2 Pb 2.87, 4 Re 2.94

Results
E_form   1.99 eV/f.u.
Symmetry   Imm2 (44)
VASP energy   -5.41 eV/atom

=====

Record 10
DFT (PBE) results for an optimized crystal structure of AlRe2Pb.

a = 4.2442 Å, b = 2.9946 Å, c = 5.7658 Å
α = 77.08°, β = 90.00°, γ = 90.00°
With the nearest neighbours (Å) after each atom.
Fractional positions:
Pb 0.5000 0.7500 0.7500  2 Al 2.94, 2 Pb 2.99, 8 Re 3.02-3.22
Re 0.0000 0.0497 0.0562  2 Al 2.53, 2 Re 2.53-2.76
Re 0.0000 0.4503 0.4438  2 Al 2.53, 2 Re 2.53-2.76
Al 0.5000 0.2500 0.2500  4 Re 2.53

Results
E_form   2.61 eV/f.u.
Symmetry   P2/m (10)
VASP energy   -7.43 eV/atom

=====

Record 11
DFT (PBE) results for an optimized crystal structure of Al2RePb.

a = 3.4102 Å, b = 3.4102 Å, c = 6.5498 Å
α = 90.00°, β = 90.00°, γ = 90.00°
With the nearest neighbours (Å) after each atom.
Fractional positions:
Pb 0.0000 0.0000 0.5152  5 Al 2.97-3.18, 4 Re 3.12
Re 0.5000 0.5000 0.8176  5 Al 2.50-2.61
Al 0.0000 0.0000 0.9687  4 Re 2.61, 4 Al 2.84
Al 0.5000 0.5000 0.1985  1 Re 2.50

Results
E_form   1.38 eV/f.u.
Symmetry   P4mm (99)
VASP energy   -5.57 eV/atom

=====

Record 12
DFT (PBE) results for an optimized crystal structure of Al2RePb.

a = 4.6935 Å, b = 4.6935 Å, c = 4.6935 Å
α = 60.00°, β = 60.00°, γ = 60.00°
With the nearest neighbours (Å) after each atom.
Fractional positions:
Pb 0.5000 0.5000 0.5000  4 Re 2.87, 4 Al 2.87
Re 0.7500 0.7500 0.7500  4 Pb 2.87, 4 Al 2.87
Al 0.0000 0.0000 0.0000  4 Re 2.87, 4 Al 2.87
Al 0.2500 0.2500 0.2500  4 Pb 2.87, 4 Al 2.87

Results
E_form   2.84 eV/f.u.
Symmetry   F-43m (216)
VASP energy   -5.20 eV/atom